Record 1
## Al2CrRePb (SCAN)

Data for a crystal of Al2CrRePb relaxed with PBEsol.

a b c (Å): 4.8327 4.8327 4.6622
angles (deg): 90.00 90.00 90.00
Space group P4/mmm (No. 123)
Symmetry-distinct sites (fractional):
Al1 0.0000 0.5000 0.0000 [2 per cell]
Cr1 0.0000 0.0000 0.5000 [1 per cell]
Re1 0.0000 0.0000 0.0000 [1 per cell]
Pb1 0.5000 0.5000 0.5000 [1 per cell]

- Formation energy: 0.533 eV per atom
- Energy: -178.10 eV per cell
- Magnetization: 3.35 μB/f.u.

Record 2
## SrLi2W (SCAN)

Data for a crystal of SrLi2W relaxed with PBEsol.

a b c (Å): 2.7479 4.7011 6.2300
angles (deg): 90.00 90.00 90.00
Space group Pmm2 (No. 25)
Symmetry-distinct sites (fractional):
Sr1 0.0000 0.0000 0.0000 [1 per cell]
Li1 0.0000 0.0000 0.4680 [1 per cell]
Li2 0.5000 0.5000 0.7075 [1 per cell]
W1 0.5000 0.5000 0.2801 [1 per cell]

- Distance to the lowest polymorph of the same formula: 0.000 eV/atom
- Formation energy: 0.953 eV per atom
- Energy: -92.93 eV per cell
- Magnetization: 0.05 μB/f.u.

Record 3
## YZrIr4 (SCAN)

Data for a crystal of YZrIr4 relaxed with PBEsol.

a b c (Å): 7.4153 7.4153 7.4153
angles (deg): 90.00 90.00 90.00
Space group F-43m (No. 216)
Symmetry-distinct sites (fractional):
Y1 0.0000 0.0000 0.0000 [4 per cell]
Zr1 0.2500 0.2500 0.7500 [4 per cell]
Ir1 0.1251 0.1251 0.3749 [16 per cell]

- Formation energy: -0.916 eV per atom
- Energy: -1393.74 eV per cell
- Magnetization: 0.01 μB/f.u.

Record 4
## Y3Ga2Ni6 (SCAN)

Data for a crystal of Y3Ga2Ni6 relaxed with PBEsol.

a b c (Å): 8.7647 8.7647 8.7647
angles (deg): 90.00 90.00 90.00
Space group Im-3m (No. 229)
Symmetry-distinct sites (fractional):
Y1 0.0000 0.0000 0.2898 [12 per cell]
Ga1 0.2500 0.2500 0.2500 [8 per cell]
Ni1 0.0000 0.3375 0.3375 [24 per cell]

- Formation energy: -0.568 eV per atom
- Energy: -878.03 eV per cell
- Magnetization: 0.00 μB/f.u.

Record 5
## Hf2MgCBr (SCAN)

Data for a crystal of Hf2MgCBr relaxed with PBEsol.

a b c (Å): 4.5440 4.5440 4.3241
angles (deg): 90.00 90.00 90.00
Space group P4/mmm (No. 123)
Symmetry-distinct sites (fractional):
Hf1 0.0000 0.5000 0.0000 [2 per cell]
Mg1 0.0000 0.0000 0.5000 [1 per cell]
C1 0.0000 0.0000 0.0000 [1 per cell]
Br1 0.5000 0.5000 0.5000 [1 per cell]

- Energy relative to the elements, uncorrected: 0.2374 eV per atom
- Energy: -158.69 eV per cell
- Magnetization: 0.00 μB/f.u.

Record 6
## CdSbPt (SCAN)

Data for a crystal of CdSbPt relaxed with PBEsol.

a b c (Å): 3.4697 3.4697 6.1672
angles (deg): 90.00 90.00 120.00
Space group P3m1 (No. 156)
Symmetry-distinct sites (fractional):
Cd1 0.0000 0.0000 0.0000 [1 per cell]
Sb1 0.6667 0.3333 0.4090 [1 per cell]
Pt1 0.3333 0.6667 0.6848 [1 per cell]

- Energy relative to the elements, uncorrected: -0.1818 eV per atom
- Energy: -138.41 eV per cell
- Magnetization: 0.00 μB/f.u.

Record 7
## Cu2PPt (SCAN)

Data for a crystal of Cu2PPt relaxed with PBEsol.

a b c (Å): 2.7567 3.8642 5.0673
angles (deg): 90.00 105.95 90.00
Space group Pm (No. 6)
Symmetry-distinct sites (fractional):
Cu1 0.0000 0.0000 0.0000 [1 per cell]
Cu2 0.3690 0.5000 0.7357 [1 per cell]
P1 0.6044 0.5000 0.2069 [1 per cell]
Pt1 0.7388 0.0000 0.4746 [1 per cell]

- Distance to the lowest polymorph of the same formula: 0.000 eV/atom
- Formation energy: -0.109 eV per atom
- Energy: -111.43 eV per cell
- Magnetization: 0.00 μB/f.u.

Record 8
## LaHgAs2Se (SCAN)

Data for a crystal of LaHgAs2Se relaxed with PBEsol.

a b c (Å): 5.6812 5.6812 5.5851
angles (deg): 90.00 90.00 90.00
Space group P4/mmm (No. 123)
Symmetry-distinct sites (fractional):
La1 0.0000 0.0000 0.0000 [1 per cell]
Hg1 0.5000 0.5000 0.5000 [1 per cell]
As1 0.0000 0.5000 0.0000 [2 per cell]
Se1 0.0000 0.0000 0.5000 [1 per cell]

- Energy relative to the elements, uncorrected: 0.2986 eV per atom
- Energy: -170.24 eV per cell
- Magnetization: 1.51 μB/f.u.